[1]
ThTlSnPb | GGA-PBE | relaxed

The value obtained for the calculated density is 11.20 g cm⁻³. Its formation energy from the elements is -0.29 eV per atom. For the density of states at the Fermi level, the calculation gives 2.39 states/eV/f.u.

The space group is Pmmm (No. 47) and the conventional cell measures 4.7099, 4.8623 and 4.9374 Å, with angles of 90.00, 90.00 and 90.00 degrees. The inequivalent atoms are Th at (0.0000, 0.0000, 0.0000), Tl at (0.0000, 0.5000, 0.5000), Sn at (0.5000, 0.5000, 0.0000) and Pb at (0.5000, 0.0000, 0.5000).

[2]
Rb2CrAu | GGA-PBE | relaxed

The value obtained for the calculated density is 4.49 g cm⁻³. Its formation energy from the elements is 0.55 eV per atom. The energy above the most stable polymorph in this dataset is 145 meV per atom. For the density of states at the Fermi level, the calculation gives 0.47 states/eV/f.u.

The space group is Fm-3m (No. 225) and the conventional cell measures 8.5298, 8.5298 and 8.5298 Å, with angles of 90.00, 90.00 and 90.00 degrees. The inequivalent atoms are Rb at (0.2500, 0.2500, 0.2500), Cr at (0.0000, 0.0000, 0.0000) and Au at (0.0000, 0.0000, 0.5000).

[3]
TbPmCd14 | GGA-PBE | relaxed

The value obtained for the calculated density is 8.32 g cm⁻³. Its formation energy from the elements is -0.15 eV per atom. For the density of states at the Fermi level, the calculation gives 5.55 states/eV/f.u.

The space group is P4/mmm (No. 123) and the conventional cell measures 6.6530, 6.6530 and 8.4701 Å, with angles of 90.00, 90.00 and 90.00 degrees. The inequivalent atoms are Tb at (0.0000, 0.0000, 0.0000), Pm at (0.5000, 0.5000, 0.0000), Cd at (0.0000, 0.0000, 0.5000), Cd at (0.0000, 0.5000, 0.0000), Cd at (0.0000, 0.5000, 0.5000), Cd at (0.2482, 0.2482, 0.2600) and Cd at (0.5000, 0.5000, 0.5000).

[4]
Dy5Y2Th | GGA-PBE | relaxed

The value obtained for the calculated density is 7.52 g cm⁻³. Its formation energy from the elements is 0.27 eV per atom. The energy above the most stable polymorph in this dataset is 246 meV per atom. For the density of states at the Fermi level, the calculation gives 11.89 states/eV/f.u.

The space group is P2_1/m (No. 11) and the conventional cell measures 7.0996, 9.9688 and 7.8336 Å, with angles of 90.00, 103.09 and 90.00 degrees. The inequivalent atoms are Dy at (0.0654, 0.2500, 0.2769), Dy at (0.0951, 0.5925, 0.3639), Dy at (0.2507, 0.0312, 0.9999), Y at (0.4129, 0.0925, 0.6348) and Th at (0.4301, 0.7500, 0.7168).

[5]
NdTm2IrO8 | GGA-PBE | relaxed

The value obtained for the calculated density is 7.72 g cm⁻³. The formation energy from raw total energies is -2.351 eV/atom. For the density of states at the Fermi level, the calculation gives 5.21 states/eV/f.u.

The space group is P2/m (No. 10) and the conventional cell measures 5.0200, 6.8313 and 5.0323 Å, with angles of 90.00, 90.30 and 90.00 degrees. The inequivalent atoms are Nd at (0.0000, 0.0000, 0.0000), Tm at (0.5000, 0.2492, 0.5000), Ir at (0.0000, 0.5000, 0.0000), O at (0.1900, 0.2961, 0.1877), O at (0.2696, 0.5000, 0.7287) and O at (0.3164, 0.0000, 0.6810).

[6]
NbOsAuCl2 | GGA-PBE | relaxed

The value obtained for the calculated density is 8.00 g cm⁻³. The formation energy from raw total energies is 0.714 eV/atom. For the density of states at the Fermi level, the calculation gives 3.42 states/eV/f.u.

The space group is P4/mmm (No. 123) and the conventional cell measures 4.7022, 4.7022 and 5.1725 Å, with angles of 90.00, 90.00 and 90.00 degrees. The inequivalent atoms are Nb at (0.0000, 0.0000, 0.0000), Os at (0.0000, 0.0000, 0.5000), Au at (0.5000, 0.5000, 0.5000) and Cl at (0.0000, 0.5000, 0.0000).

[7]
Sc2MnW | GGA-PBE | relaxed

The value obtained for the calculated density is 7.49 g cm⁻³. Its formation energy from the elements is 0.30 eV per atom. The energy above the most stable polymorph in this dataset is 257 meV per atom. For the density of states at the Fermi level, the calculation gives 4.71 states/eV/f.u.

The space group is Pmmm (No. 47) and the conventional cell measures 3.0131, 3.7543 and 6.4448 Å, with angles of 90.00, 90.00 and 90.00 degrees. The inequivalent atoms are Sc at (0.0000, 0.0000, 0.2462), Mn at (0.5000, 0.5000, 0.0000) and W at (0.5000, 0.5000, 0.5000).

[8]
TbPu2Fe | GGA-PBE | relaxed

The value obtained for the calculated density is 13.12 g cm⁻³. Its formation energy from the elements is 0.56 eV per atom. The energy above the most stable polymorph in this dataset is 425 meV per atom. For the density of states at the Fermi level, the calculation gives 7.06 states/eV/f.u.

The space group is R-3m (No. 166, hexagonal axes) and the conventional cell measures 4.3222, 4.3222 and 16.4996 Å, with angles of 90.00, 90.00 and 120.00 degrees. The inequivalent atoms are Tb at (0.0000, 0.0000, 0.0000), Pu at (0.0000, 0.0000, 0.1870) and Fe at (0.0000, 0.0000, 0.5000).